4
Lattice="4.3583 0.0000 0.0000 0.0000 1.8639 4.5904 0.0000 -1.8639 4.5904" Properties=species:S:1:pos:R:3 comment="TbNiGeRh | Alexandria | PBE | optimized geometry" dos_at_fermi_per_ev_atom=0.35 formation_energy_ev_per_atom=-0.404 pbc="T T T"
Tb 0.0000 0.0000 0.0000
Ni 2.1791 0.0000 2.5264
Ge 2.1791 0.0000 5.5388
Rh 0.0000 0.0000 6.6341